The following is a DFT calculation (PBEsol) of crystalline Sc2AgI at its relaxed geometry.

Output
Spin magnetization (μB/cell): 0.00
SG: R-3m
E_tot (Ha/atom): -0.1739
ΔE_f (raw) (eV per atom): -0.16

```
Sc2AgI
1.0
2.066 1.193 8.187
-2.066 1.193 8.187
0.000 -2.385 8.187
Sc Ag I
2 1 1
Direct
0.114 0.114 0.114
0.886 0.886 0.886
0.500 0.500 0.500
0.000 0.000 0.000
```

=====

The following is a DFT calculation (PBEsol) of crystalline Li3MgV8O16 at its relaxed geometry.

Output
Spin magnetization (μB/cell): 10.96
SG: R3m
E_tot (Ha/atom): -0.3075
ΔE_f (raw) (eV per atom): -2.34

```
Li3MgV8O16
1.0
2.883 1.665 9.554
-2.883 1.665 9.554
0.000 -3.329 9.554
Li Mg V O
3 1 8 16
Direct
0.000 0.000 0.000
0.122 0.122 0.122
0.624 0.624 0.624
0.814 0.814 0.814
0.041 0.571 0.571
0.075 0.075 0.548
0.075 0.548 0.075
0.314 0.314 0.314
0.500 0.500 0.500
0.548 0.075 0.075
0.571 0.041 0.571
0.571 0.571 0.041
0.181 0.697 0.697
0.192 0.192 0.192
0.206 0.206 0.661
0.206 0.661 0.206
0.429 0.429 0.958
0.429 0.958 0.429
0.434 0.434 0.434
0.458 0.921 0.921
0.661 0.206 0.206
0.688 0.688 0.688
0.697 0.181 0.697
0.697 0.697 0.181
0.921 0.458 0.921
0.921 0.921 0.458
0.931 0.931 0.931
0.958 0.429 0.429
```

=====

The following is a DFT calculation (PBEsol) of crystalline TlH2O at its relaxed geometry.

Output
Spin magnetization (μB/cell): 0.00
SG: Fd-3m
E_tot (Ha/atom): -0.1337

```
TlH2O
1.0
0.000 3.386 3.386
3.386 0.000 3.386
3.386 3.386 0.000
Tl H O
2 4 2
Direct
0.125 0.125 0.125
0.875 0.875 0.875
0.000 0.500 0.500
0.500 0.000 0.500
0.500 0.500 0.000
0.500 0.500 0.500
0.375 0.375 0.375
0.625 0.625 0.625
```

=====

The following is a DFT calculation (PBEsol) of crystalline ScP2PtCl at its relaxed geometry.

Output
Spin magnetization (μB/cell): 0.00
SG: P4/mmm
E_tot (Ha/atom): -0.1804
ΔE_f (raw) (eV per atom): 0.52

```
ScP2PtCl
1.0
4.921 0.000 0.000
0.000 4.921 0.000
0.000 0.000 4.535
Sc P Pt Cl
1 2 1 1
Direct
0.000 0.000 0.000
0.000 0.500 0.000
0.500 0.000 0.000
0.500 0.500 0.500
0.000 0.000 0.500
```

=====

The following is a DFT calculation (PBEsol) of crystalline ScNCl2 at its relaxed geometry.

Output
Spin magnetization (μB/cell): 0.00
SG: I-42d
E_tot (Ha/atom): -0.1769
ΔE_f (raw) (eV per atom): -0.03

```
ScNCl2
1.0
-1.995 1.995 8.344
1.995 -1.995 8.344
1.995 1.995 -8.344
Sc N Cl
2 2 4
Direct
0.000 0.000 0.000
0.750 0.250 0.500
0.250 0.750 0.500
0.500 0.500 0.000
0.124 0.625 0.999
0.375 0.374 0.499
0.626 0.125 0.001
0.875 0.876 0.501
```

=====

The following is a DFT calculation (PBEsol) of crystalline AlTcNi6 at its relaxed geometry.

Output
Spin magnetization (μB/cell): 6.07
SG: Cmmm
Energy relative to the elements (eV/f.u.): -1.57
E_tot (Ha/atom): -0.2475

```
AlTcNi6
1.0
3.536 -5.003 0.000
3.536 5.003 0.000
0.000 0.000 10.004
Al Tc Ni
4 4 24
Direct
0.000 0.000 0.248
0.000 0.000 0.752
0.251 0.749 0.000
0.749 0.251 0.000
0.250 0.750 0.500
0.500 0.500 0.246
0.500 0.500 0.754
0.750 0.250 0.500
0.000 0.000 0.000
0.000 0.000 0.500
0.125 0.376 0.374
0.125 0.376 0.626
0.126 0.375 0.125
0.126 0.375 0.875
0.251 0.749 0.251
0.251 0.749 0.749
0.375 0.126 0.125
0.375 0.126 0.875
0.376 0.125 0.374
0.376 0.125 0.626
0.500 0.500 0.000
0.500 0.500 0.500
0.624 0.875 0.374
0.624 0.875 0.626
0.625 0.874 0.125
0.625 0.874 0.875
0.749 0.251 0.251
0.749 0.251 0.749
0.874 0.625 0.125
0.874 0.625 0.875
0.875 0.624 0.374
0.875 0.624 0.626
```

=====

The following is a DFT calculation (PBEsol) of crystalline Li2VCrO4 at its relaxed geometry.

Output
Spin magnetization (μB/cell): 4.99
Polymorph energy (0 for the lowest one) (meV per atom): 32
SG: I-4m2
E_tot (Ha/atom): -0.2830
ΔE_f (raw) (eV per atom): -2.10

```
Li2VCrO4
1.0
-1.990 1.990 4.337
1.990 -1.990 4.337
1.990 1.990 -4.337
Li V Cr O
2 1 1 4
Direct
0.000 0.000 0.000
0.750 0.250 0.500
0.500 0.500 0.000
0.250 0.750 0.500
0.019 0.519 0.500
0.268 0.268 0.000
0.481 0.981 0.500
0.732 0.732 0.000
```

=====

The following is a DFT calculation (PBEsol) of crystalline Y2CrOs at its relaxed geometry.

Output
Spin magnetization (μB/cell): 1.81
Polymorph energy (0 for the lowest one) (meV per atom): 0
SG: Imm2
Energy relative to the elements (eV/f.u.): 0.69
E_tot (Ha/atom): -0.3253

```
Y2CrOs
1.0
-1.644 2.383 5.163
1.644 -2.383 5.163
1.644 2.383 -5.163
Y Cr Os
2 1 1
Direct
0.000 0.000 0.000
0.716 0.216 0.500
0.290 0.790 0.500
0.461 0.461 0.000
```

=====

The following is a DFT calculation (PBEsol) of crystalline SrTiP2O8 at its relaxed geometry.

Output
Spin magnetization (μB/cell): 0.00
SG: C2/m
E_tot (Ha/atom): -0.2957
ΔE_f (raw) (eV per atom): -2.74

```
SrTiP2O8
1.0
4.072 -2.606 0.000
4.072 2.606 0.000
-0.401 0.000 7.315
Sr Ti P O
1 1 2 8
Direct
0.000 0.000 0.000
0.000 0.000 0.500
0.364 0.364 0.720
0.636 0.636 0.280
0.226 0.226 0.567
0.229 0.714 0.693
0.286 0.771 0.307
0.303 0.303 0.912
0.697 0.697 0.088
0.714 0.229 0.693
0.771 0.286 0.307
0.774 0.774 0.433
```

=====

The following is a DFT calculation (PBEsol) of crystalline MnZnTe at its relaxed geometry.

Output
Spin magnetization (μB/cell): 2.50
SG: I4mm
E_tot (Ha/atom): -0.1725
ΔE_f (raw) (eV per atom): 0.26

```
MnZnTe
1.0
-1.711 1.711 4.262
1.711 -1.711 4.262
1.711 1.711 -4.262
Mn Zn Te
1 1 1
Direct
0.000 0.000 0.000
0.655 0.655 0.000
0.338 0.338 0.000
```